A relaxed Dy4Y4Tl crystal, computed with PBE-GGA.

Cell lengths 4.8300, 7.9535, 7.9535 Å; angles 84.71, 72.32, 72.32 degrees
Closest atoms and distances in Å follow each position.
Positions (direct):
Dy (0.9998, 0.3380, 0.6623)  5 Dy 3.45-3.47, 6 Y 3.52-3.63, 1 Tl 3.62
Y (0.6612, 0.6777, 0.0000)  2 Tl 3.43, 4 Y 3.45-3.62, 6 Dy 3.52-3.63
Tl (0.0000, 0.0000, 0.0000)  8 Y 3.43, 4 Dy 3.62
Y (0.3388, 0.3223, 0.0000)  2 Tl 3.43, 4 Y 3.45-3.62, 6 Dy 3.52-3.63
Y (0.6611, 0.0000, 0.6777)  2 Tl 3.43, 4 Y 3.45-3.62, 6 Dy 3.52-3.63
Dy (0.0002, 0.6620, 0.3377)  5 Dy 3.45-3.47, 6 Y 3.52-3.63, 1 Tl 3.62
Y (0.3389, 0.0000, 0.3223)  2 Tl 3.43, 4 Y 3.45-3.62, 6 Dy 3.52-3.63
Dy (0.3379, 0.6623, 0.6620)  5 Dy 3.45-3.47, 6 Y 3.52-3.63, 1 Tl 3.62
Dy (0.6621, 0.3377, 0.3380)  5 Dy 3.45-3.47, 6 Y 3.52-3.63, 1 Tl 3.62

Magnetization ... 0.000 μB/f.u.
Formation enthalpy at 0 K ... -0.04 eV/atom